P) {
  "formula": "FeNiI3",
  "functional": "PBE",
  "state": "relaxed",
  "lattice_angstrom": [[5.279, 0.000, 0.000], [0.000, 5.279, 0.000], [0.000, 0.000, 5.279]],
  "species": ["Fe", "Ni", "I", "I", "I"],
  "fractional_positions": [[0.000, 0.000, 0.000], [0.500, 0.500, 0.500], [0.000, 0.500, 0.500], [0.500, 0.000, 0.500], [0.500, 0.500, 0.000]],
  "dos_ef_per_ev_atom": 2.39
}

=====

Q) {
  "formula": "FeNiI3",
  "functional": "PBE",
  "state": "relaxed",
  "lattice_angstrom": [[5.439, 0.000, 0.000], [0.000, 5.439, 0.000], [0.000, 0.000, 5.439]],
  "species": ["Fe", "Ni", "I", "I", "I"],
  "fractional_positions": [[0.000, 0.000, 0.000], [0.500, 0.500, 0.500], [0.000, 0.000, 0.500], [0.000, 0.500, 0.000], [0.500, 0.000, 0.000]],
  "dos_ef_per_ev_atom": 3.77
}

=====

What should be chosen as the least stable of them? Choose Q).

=====

P) {
  "formula": "FeNiSbI2",
  "functional": "PBE",
  "state": "relaxed",
  "lattice_angstrom": [[5.328, 0.000, 0.000], [0.000, 5.328, 0.000], [0.000, 0.000, 4.921]],
  "species": ["Fe", "Ni", "Sb", "I", "I"],
  "fractional_positions": [[0.000, 0.000, 0.000], [0.500, 0.500, 0.500], [0.500, 0.500, 0.000], [0.000, 0.500, 0.500], [0.500, 0.000, 0.500]],
  "dos_ef_per_ev_atom": 1.04
}

=====

Q) {
  "formula": "FeNiSbI2",
  "functional": "PBE",
  "state": "relaxed",
  "lattice_angstrom": [[5.355, 0.000, 0.000], [0.000, 5.355, 0.000], [0.000, 0.000, 4.878]],
  "species": ["Fe", "Ni", "Sb", "I", "I"],
  "fractional_positions": [[0.000, 0.000, 0.000], [0.500, 0.500, 0.500], [0.000, 0.000, 0.500], [0.000, 0.500, 0.000], [0.500, 0.000, 0.000]],
  "dos_ef_per_ev_atom": 2.72
}

=====

What should be chosen as the least stable of them? Choose Q).